Entry 1:
# NiOsNF2

An optimized crystal structure of NiOsNF2 (GGA+U, Alexandria via LeMat-Bulk).

a = 3.380 Å, b = 3.380 Å, c = 6.421 Å
α = 90.00°, β = 90.00°, γ = 90.00°
Fractional coordinates of all 5 atoms:
Ni 0.000 0.000 0.000
N 0.000 0.000 0.500
Os 0.500 0.500 0.500
F 0.000 0.500 0.000
F 0.500 0.000 0.000

- theoretical density (g/cm³) = 6.81
- E (eV/f.u.) = -23.1

Entry 2:
# NiPN2F

An optimized crystal structure of NiPN2F (GGA+U, Alexandria via LeMat-Bulk).

a = 3.824 Å, b = 3.824 Å, c = 3.715 Å
α = 90.00°, β = 90.00°, γ = 90.00°
Fractional coordinates of all 5 atoms:
Ni 0.000 0.000 0.000
N 0.000 0.500 0.000
N 0.500 0.000 0.000
F 0.000 0.000 0.500
P 0.500 0.500 0.500

- theoretical density (g/cm³) = 4.18
- E (eV/f.u.) = -21.0

The highest E belongs to which entry? NiPN2F

Copy entry 2 word for word.
# NiPN2F

An optimized crystal structure of NiPN2F (GGA+U, Alexandria via LeMat-Bulk).

a = 3.824 Å, b = 3.824 Å, c = 3.715 Å
α = 90.00°, β = 90.00°, γ = 90.00°
Fractional coordinates of all 5 atoms:
Ni 0.000 0.000 0.000
N 0.000 0.500 0.000
N 0.500 0.000 0.000
F 0.000 0.000 0.500
P 0.500 0.500 0.500

- theoretical density (g/cm³) = 4.18
- E (eV/f.u.) = -21.0

Number 2 is which compound? NiPN2F